(1)
Here is an optimized crystal structure of NaTl2InHg6 from the Alexandria database. Energies are from PBE.

abc: 7.9859 7.9859 7.9860
angles: 60.00 60.00 90.00
Last column: nearest neighbours and their distance in Å.
Atoms (fractional coordinates):
Na 0.5000 0.5000 0.0000  6 Hg 2.79
Tl 0.2500 0.7500 0.5000  12 Hg 3.99
Tl 0.7500 0.2500 0.5000  12 Hg 3.99
In 0.0000 0.0000 0.0000  6 Hg 2.86
Hg 0.2529 0.7471 0.0000  1 Na 2.79, 1 In 2.86
Hg 0.7471 0.7471 0.0000  1 Na 2.79, 1 In 2.86
Hg 0.2529 0.2529 0.4942  1 Na 2.79, 1 In 2.86
Hg 0.7471 0.2529 0.0000  1 Na 2.79, 1 In 2.86
Hg 0.2529 0.2529 0.0000  1 Na 2.79, 1 In 2.86
Hg 0.7471 0.7471 0.5058  1 Na 2.79, 1 In 2.86

Output
Formation energy (meV/atom): 169
DFT total energy (eV/cell): -8.91

(2)
Here is an optimized crystal structure of KLaScTc2 from the Alexandria database. Energies are from PBE.

abc: 4.8977 5.6773 4.8977
angles: 90.00 90.00 90.00
Last column: nearest neighbours and their distance in Å.
Atoms (fractional coordinates):
Sc 0.0000 0.0000 0.0000  4 Tc 2.45
K 0.5000 0.5000 0.5000  4 La 3.46, 8 Tc 3.75
Tc 0.0000 0.0000 0.5000  2 Sc 2.45
Tc 0.5000 0.0000 0.0000  2 Sc 2.45
La 0.0000 0.5000 0.0000  2 Sc 2.84

Output
Formation energy (meV/atom): 1361
DFT total energy (eV/cell): -26.28

(3)
Here is an optimized crystal structure of Mn2GaHIr from the Alexandria database. Energies are from PBE.

abc: 3.6861 3.6861 4.0974
angles: 90.00 90.00 90.00
Last column: nearest neighbours and their distance in Å.
Atoms (fractional coordinates):
Mn 0.0000 0.5000 0.0000  2 H 1.84
Mn 0.5000 0.0000 0.0000  2 H 1.84
Ir 0.5000 0.5000 0.5000  4 Ga 2.61, 8 Mn 2.76
Ga 0.0000 0.0000 0.5000  2 H 2.05
H 0.0000 0.0000 0.0000  4 Mn 1.84, 2 Ga 2.05

Output
DFT total energy (eV/cell): -33.97
Relative energy among the computed polymorphs (meV per atom): 79

(4)
Here is an optimized crystal structure of TmPuRu from the Alexandria database. Energies are from PBE.

abc: 3.3540 4.7155 4.7155
angles: 120.00 90.00 90.00
Last column: nearest neighbours and their distance in Å.
Atoms (fractional coordinates):
Ru 0.1664 0.0000 0.0000  3 Pu 2.72
Tm 0.6666 0.6667 0.3333  6 Pu 3.20, 6 Ru 3.20, 2 Tm 3.35
Pu 0.1670 0.3333 0.6667  3 Ru 2.72

Output
Formation energy (meV/atom): -52
DFT total energy (eV/cell): -28.23
Relative energy among the computed polymorphs (meV per atom): 133

(5)
Here is an optimized crystal structure of AsIrSe2 from the Alexandria database. Energies are from PBE.

abc: 4.6233 4.6233 4.6233
angles: 60.00 60.00 60.00
Last column: nearest neighbours and their distance in Å.
Atoms (fractional coordinates):
As 0.5000 0.5000 0.5000  4 Se 2.83, 4 Ir 2.83
Ir 0.7500 0.7500 0.7500  4 As 2.83, 4 Se 2.83
Se 0.0000 0.0000 0.0000  4 Se 2.83, 4 Ir 2.83
Se 0.2500 0.2500 0.2500  4 As 2.83, 4 Se 2.83

Output
DFT total energy (eV/cell): -18.09
Energy relative to the elements, uncorrected (eV/atom): 0.597

(6)
Here is an optimized crystal structure of HoZnPt from the Alexandria database. Energies are from PBE.

abc: 3.5902 3.5902 5.1498
angles: 110.40 110.40 90.00
Last column: nearest neighbours and their distance in Å.
Atoms (fractional coordinates):
Zn 0.6267 0.6267 0.2534  5 Ho 2.84-3.02, 5 Pt 2.89-3.11
Ho 0.9436 0.9436 0.8872  5 Zn 2.84-3.02, 5 Pt 2.93-3.01
Pt 0.2797 0.2797 0.5594  5 Zn 2.89-3.11, 5 Ho 2.93-3.01

Output
Formation energy (meV/atom): -801
DFT total energy (eV/cell): -14.30